[1]
DFT (PBE) results for a relaxed structure of CoTcNi2.

Cell: 2.5444 2.5444 7.3345 Å, 90.00 90.00 90.00°
Closest atoms and distances in Å follow each position.
Element x y z (fractional)
Co  0.0000  0.0000  0.0000  8 Ni 2.50, 4 Co 2.54
Tc  0.0000  0.0000  0.5000  4 Tc 2.54, 8 Ni 2.63
Ni  0.5000  0.5000  0.2376  4 Co 2.50, 4 Ni 2.54, 4 Tc 2.63
Ni  0.5000  0.5000  0.7624  4 Co 2.50, 4 Ni 2.54, 4 Tc 2.63

Calculated values
The calculation puts the polymorph energy (0 for the lowest one) at 12.6 meV per atom. As for the energy of formation from the pure elements: 0.047 eV per atom.



[2]
DFT (PBE) results for a relaxed structure of NdEr2PaSb4.

Cell: 7.5925 4.3954 7.6365 Å, 90.00 109.35 90.00°
Closest atoms and distances in Å follow each position.
Element x y z (fractional)
Nd  0.0000  0.0000  0.0000  6 Sb 3.15-3.16
Er  0.5000  0.0000  0.5000  6 Sb 3.06
Er  0.5000  0.5000  0.0000  6 Sb 3.10-3.11
Pa  0.0000  0.5000  0.5000  6 Sb 3.10-3.12
Sb  0.2555  0.0000  0.7478  3 Er 3.06-3.10, 2 Pa 3.12, 1 Nd 3.15
Sb  0.2575  0.5000  0.2580  3 Er 3.06-3.11, 1 Pa 3.10, 2 Nd 3.16
Sb  0.7425  0.5000  0.7420  3 Er 3.06-3.11, 1 Pa 3.10, 2 Nd 3.16
Sb  0.7445  0.0000  0.2522  3 Er 3.06-3.10, 2 Pa 3.12, 1 Nd 3.15

Calculated values
For the formation energy (no corrections), the calculation gives -948 meV per atom.



[3]
DFT (PBE) results for a relaxed structure of Ca3ZnAs2N.

Cell: 8.5749 8.5749 8.5749 Å, 154.12 147.02 42.39°
Closest atoms and distances in Å follow each position.
Element x y z (fractional)
Ca  0.0000  0.0000  0.0000  2 N 2.43
Ca  0.3372  0.8372  0.5000  1 N 2.60
Ca  0.6628  0.1628  0.5000  1 N 2.60
Zn  0.5000  0.5000  0.0000  2 N 1.92
As  0.1479  0.6479  0.5000  7 Ca 3.03-3.11
As  0.8521  0.3521  0.5000  7 Ca 3.03-3.11
N  0.5000  0.0000  0.5000  2 Zn 1.92

Calculated values
For the formation energy (no corrections), the calculation gives -838 meV per atom.



[4]
DFT (PBE) results for a relaxed structure of Pr9Sm3Dy2.

Cell: 9.1873 9.1873 14.0428 Å, 90.00 90.00 120.00°
Closest atoms and distances in Å follow each position.
Element x y z (fractional)
Pr  0.0792  0.4802  0.2500  2 Sm 3.21-3.46, 2 Pr 3.59
Pr  0.1317  0.7254  0.0408  1 Dy 3.37, 6 Pr 3.49-3.76, 1 Sm 3.60
Pr  0.1317  0.7254  0.4592  1 Dy 3.37, 6 Pr 3.49-3.76, 1 Sm 3.60
Pr  0.2746  0.4063  0.0408  1 Dy 3.37, 6 Pr 3.49-3.76, 1 Sm 3.60
Pr  0.2746  0.4063  0.4592  1 Dy 3.37, 6 Pr 3.49-3.76, 1 Sm 3.60
Pr  0.4009  0.9208  0.2500  2 Sm 3.21-3.46, 2 Pr 3.59
Pr  0.4063  0.1317  0.5408  1 Dy 3.37, 6 Pr 3.49-3.76, 1 Sm 3.60
Pr  0.4063  0.1317  0.9592  1 Dy 3.37, 6 Pr 3.49-3.76, 1 Sm 3.60
Pr  0.4802  0.4009  0.7500  2 Sm 3.21-3.46, 2 Pr 3.59
Pr  0.5198  0.5991  0.2500  2 Sm 3.21-3.46, 2 Pr 3.59
Pr  0.5937  0.8683  0.0408  1 Dy 3.37, 6 Pr 3.49-3.76, 1 Sm 3.60
Pr  0.5937  0.8683  0.4592  1 Dy 3.37, 6 Pr 3.49-3.76, 1 Sm 3.60
Pr  0.5991  0.0792  0.7500  2 Sm 3.21-3.46, 2 Pr 3.59
Pr  0.7254  0.5937  0.5408  1 Dy 3.37, 6 Pr 3.49-3.76, 1 Sm 3.60
Pr  0.7254  0.5937  0.9592  1 Dy 3.37, 6 Pr 3.49-3.76, 1 Sm 3.60
Pr  0.8683  0.2746  0.5408  1 Dy 3.37, 6 Pr 3.49-3.76, 1 Sm 3.60
Pr  0.8683  0.2746  0.9592  1 Dy 3.37, 6 Pr 3.49-3.76, 1 Sm 3.60
Pr  0.9208  0.5198  0.7500  2 Sm 3.21-3.46, 2 Pr 3.59
Sm  0.0813  0.2507  0.7500  2 Pr 3.21-3.46, 2 Sm 3.52
Sm  0.1694  0.9187  0.7500  2 Pr 3.21-3.46, 2 Sm 3.52
Sm  0.2507  0.1694  0.2500  2 Pr 3.21-3.46, 2 Sm 3.52
Sm  0.7493  0.8306  0.7500  2 Pr 3.21-3.46, 2 Sm 3.52
Sm  0.8306  0.0813  0.2500  2 Pr 3.21-3.46, 2 Sm 3.52
Sm  0.9187  0.7493  0.2500  2 Pr 3.21-3.46, 2 Sm 3.52
Dy  0.3333  0.6667  0.6425  1 Dy 3.02, 3 Pr 3.37
Dy  0.3333  0.6667  0.8575  1 Dy 3.02, 3 Pr 3.37
Dy  0.6667  0.3333  0.1425  1 Dy 3.02, 3 Pr 3.37
Dy  0.6667  0.3333  0.3575  1 Dy 3.02, 3 Pr 3.37

Calculated values
As for the energy of formation from the pure elements: 0.221 eV per atom.



[5]
DFT (PBE) results for a relaxed structure of LaZrBeB2.

Cell: 4.5086 4.5086 5.5707 Å, 90.00 90.00 90.00°
Closest atoms and distances in Å follow each position.
Element x y z (fractional)
La  0.0000  0.0000  0.0000  2 Zr 2.79
Zr  0.0000  0.0000  0.5000  4 B 2.25
Be  0.5000  0.5000  0.0000  4 La 3.19
B  0.0000  0.5000  0.5000  2 Zr 2.25
B  0.5000  0.0000  0.5000  2 Zr 2.25

Calculated values
As for the energy of formation from the pure elements: 1.656 eV per atom.



[6]
DFT (PBE) results for a relaxed structure of InHg2PtW.

Cell: 5.4028 5.4028 4.8624 Å, 90.00 90.00 90.00°
Closest atoms and distances in Å follow each position.
Element x y z (fractional)
In  0.0000  0.0000  0.0000  8 Hg 3.63, 4 Pt 3.82
Hg  0.0000  0.5000  0.5000  2 W 2.70
Hg  0.5000  0.0000  0.5000  2 W 2.70
Pt  0.5000  0.5000  0.0000  2 W 2.43
W  0.5000  0.5000  0.5000  2 Pt 2.43, 4 Hg 2.70

Calculated values
As for the energy of formation from the pure elements: 0.872 eV per atom.



[7]
DFT (PBE) results for a relaxed structure of HoTaTiIr2.

Cell: 6.1286 6.1286 6.1286 Å, 138.55 138.55 60.07°
Closest atoms and distances in Å follow each position.
Element x y z (fractional)
Ho  0.0000  0.0000  0.0000  8 Ir 3.33, 4 Ta 3.43, 4 Ti 3.43
Ta  0.7500  0.2500  0.5000  4 Ir 2.56
Ti  0.2500  0.7500  0.5000  4 Ir 2.56
Ir  0.3787  0.3787  0.0000  2 Ta 2.56, 2 Ti 2.56, 1 Ir 2.57
Ir  0.6213  0.6213  0.0000  2 Ta 2.56, 2 Ti 2.56, 1 Ir 2.57

Calculated values
As for the energy of formation from the pure elements: -0.730 eV per atom.



[8]
DFT (PBE) results for a relaxed structure of BeFeNi.

Cell: 4.6336 4.6336 7.0761 Å, 120.36 120.36 29.87°
Closest atoms and distances in Å follow each position.
Element x y z (fractional)
Be  0.1427  0.1427  0.1802  4 Fe 2.34-2.43, 3 Ni 2.35-2.37, 3 Be 2.39-2.49
Be  0.8573  0.8573  0.8198  4 Fe 2.34-2.43, 3 Ni 2.35-2.37, 3 Be 2.39-2.49
Fe  0.1295  0.1295  0.8408  4 Be 2.34-2.43, 2 Ni 2.38-2.39, 4 Fe 2.39-2.46
Fe  0.8705  0.8705  0.1592  4 Be 2.34-2.43, 2 Ni 2.38-2.39, 4 Fe 2.39-2.46
Ni  0.1382  0.1382  0.5088  3 Be 2.35-2.37, 2 Fe 2.38-2.39, 5 Ni 2.39-2.41
Ni  0.8618  0.8618  0.4912  3 Be 2.35-2.37, 2 Fe 2.38-2.39, 5 Ni 2.39-2.41

Calculated values
The calculation puts the polymorph energy (0 for the lowest one) at 367.6 meV per atom. As for the energy of formation from the pure elements: 0.139 eV per atom.



[9]
DFT (PBE) results for a relaxed structure of Ho8Tm6Al.

Cell: 9.7890 9.7890 5.6005 Å, 90.00 90.00 120.00°
Closest atoms and distances in Å follow each position.
Element x y z (fractional)
Ho  0.0522  0.7835  0.2639  1 Al 2.83
Ho  0.2165  0.2688  0.2639  1 Al 2.83
Ho  0.2688  0.0522  0.7361  1 Al 2.83
Ho  0.3333  0.6667  0.2611  3 Ho 3.47, 9 Tm 3.53-3.68
Ho  0.6667  0.3333  0.7389  3 Ho 3.47, 9 Tm 3.53-3.68
Ho  0.7312  0.9478  0.2639  1 Al 2.83
Ho  0.7835  0.7312  0.7361  1 Al 2.83
Ho  0.9478  0.2165  0.7361  1 Al 2.83
Tm  0.0935  0.6168  0.7607  8 Ho 3.35-3.73, 4 Tm 3.40-3.72
Tm  0.3832  0.4767  0.7607  8 Ho 3.35-3.73, 4 Tm 3.40-3.72
Tm  0.4767  0.0935  0.2393  8 Ho 3.35-3.73, 4 Tm 3.40-3.72
Tm  0.5233  0.9065  0.7607  8 Ho 3.35-3.73, 4 Tm 3.40-3.72
Tm  0.6168  0.5233  0.2393  8 Ho 3.35-3.73, 4 Tm 3.40-3.72
Tm  0.9065  0.3832  0.2393  8 Ho 3.35-3.73, 4 Tm 3.40-3.72
Al  0.0000  0.0000  0.0000  6 Ho 2.83

Calculated values
As for the energy of formation from the pure elements: 0.089 eV per atom.



[10]
DFT (PBE) results for a relaxed structure of TeWCl2.

Cell: 6.6059 3.3229 7.0264 Å, 90.00 116.35 90.00°
Closest atoms and distances in Å follow each position.
Element x y z (fractional)
Te  0.0000  0.0000  0.0000  2 W 2.62
W  0.0130  0.5000  0.7166  3 Cl 2.26-2.43
Cl  0.2759  0.0000  0.7054  2 W 2.43
Cl  0.6681  0.5000  0.4349  1 W 2.26

Calculated values
For the formation energy (no corrections), the calculation gives -282 meV per atom. The calculation puts the polymorph energy (0 for the lowest one) at 0.0 meV per atom.



[11]
DFT (PBE) results for a relaxed structure of CsInHg.

Cell: 5.1244 5.1430 9.1201 Å, 90.00 90.12 90.00°
Closest atoms and distances in Å follow each position.
Element x y z (fractional)
Cs  0.2487  0.2500  0.3463  5 Hg 3.90-4.24, 4 In 4.03-4.13
Cs  0.7513  0.7500  0.6537  5 Hg 3.90-4.24, 4 In 4.03-4.13
In  0.2469  0.7500  0.0066  4 Hg 3.05-3.13
In  0.7531  0.2500  0.9934  4 Hg 3.05-3.13
Hg  0.2540  0.2500  0.8113  4 In 3.05-3.13
Hg  0.7460  0.7500  0.1887  4 In 3.05-3.13

Calculated values
The calculation puts the polymorph energy (0 for the lowest one) at 0.0 meV per atom. As for the energy of formation from the pure elements: -0.157 eV per atom.



[12]
DFT (PBE) results for a relaxed structure of BaCd2BiO2.

Cell: 10.5067 10.5067 6.5830 Å, 90.00 90.00 156.23°
Closest atoms and distances in Å follow each position.
Element x y z (fractional)
Ba  0.2231  0.7769  0.7500  6 O 2.71-2.82
Ba  0.7769  0.2231  0.2500  6 O 2.71-2.82
Cd  0.3901  0.6099  0.7500  2 O 2.23
Cd  0.4058  0.5942  0.2500  2 O 2.29
Cd  0.5942  0.4058  0.7500  2 O 2.29
Cd  0.6099  0.3901  0.2500  2 O 2.23
Bi  0.0060  0.9940  0.2500  4 Cd 2.99-3.04, 2 Bi 3.30
Bi  0.9940  0.0060  0.7500  4 Cd 2.99-3.04, 2 Bi 3.30
O  0.3233  0.6767  0.0164  2 Cd 2.23-2.29
O  0.3233  0.6767  0.4836  2 Cd 2.23-2.29
O  0.6767  0.3233  0.5164  2 Cd 2.23-2.29
O  0.6767  0.3233  0.9836  2 Cd 2.23-2.29

Calculated values
For the formation energy (no corrections), the calculation gives -1134 meV per atom.



[13]
DFT (PBE) results for a relaxed structure of LiAgHAu2.

Cell: 4.1787 4.1787 4.1315 Å, 90.00 90.00 90.00°
Closest atoms and distances in Å follow each position.
Element x y z (fractional)
Li  0.0000  0.0000  0.0000  8 Au 2.94, 4 Ag 2.95
Ag  0.5000  0.5000  0.0000  2 H 2.07
H  0.5000  0.5000  0.5000  2 Ag 2.07, 4 Au 2.09
Au  0.0000  0.5000  0.5000  2 H 2.09
Au  0.5000  0.0000  0.5000  2 H 2.09

Calculated values
The calculation puts the polymorph energy (0 for the lowest one) at 73.0 meV per atom.



[14]
DFT (PBE) results for a relaxed structure of La4SbS3.

Cell: 4.2672 6.0842 8.6063 Å, 90.00 90.00 90.00°
Closest atoms and distances in Å follow each position.
Element x y z (fractional)
La  0.0000  0.0000  0.0000  6 S 3.01-3.04
La  0.0000  0.0000  0.5000  2 Sb 3.04, 4 S 3.05
La  0.5000  0.5000  0.2307  4 S 2.91-3.04, 2 Sb 3.15
La  0.5000  0.5000  0.7693  4 S 2.91-3.04, 2 Sb 3.15
Sb  0.0000  0.5000  0.5000  6 La 3.04-3.15
S  0.0000  0.5000  0.0000  6 La 2.91-3.04
S  0.5000  0.0000  0.2461  6 La 3.01-3.05
S  0.5000  0.0000  0.7539  6 La 3.01-3.05

Calculated values
For the formation energy (no corrections), the calculation gives -1886 meV per atom.



[15]
DFT (PBE) results for a relaxed structure of CoPbCl2.

Cell: 8.9025 8.9025 8.9025 Å, 22.94 22.94 22.94°
Closest atoms and distances in Å follow each position.
Element x y z (fractional)
Co  0.0000  0.0000  0.0000  6 Cl 2.45
Pb  0.5000  0.5000  0.5000  2 Cl 2.98
Cl  0.3855  0.3855  0.3855  3 Co 2.45
Cl  0.6145  0.6145  0.6145  3 Co 2.45

Calculated values
For the formation energy (no corrections), the calculation gives -397 meV per atom. The calculation puts the polymorph energy (0 for the lowest one) at 0.0 meV per atom.



[16]
DFT (PBE) results for a relaxed structure of Re2NiAu.

Cell: 3.1190 3.1190 6.1550 Å, 90.00 90.00 90.00°
Closest atoms and distances in Å follow each position.
Element x y z (fractional)
Re  0.0000  0.0000  0.1988  1 Re 2.45, 4 Ni 2.52
Re  0.0000  0.0000  0.8012  1 Re 2.45, 4 Ni 2.52
Ni  0.5000  0.5000  0.0000  8 Re 2.52
Au  0.5000  0.5000  0.5000  8 Re 2.88, 2 Ni 3.08, 4 Au 3.12

Calculated values
The calculation puts the polymorph energy (0 for the lowest one) at 236.1 meV per atom. As for the energy of formation from the pure elements: 0.436 eV per atom.



[17]
DFT (PBE) results for a relaxed structure of NiAs.

Cell: 6.4906 6.4906 6.4906 Å, 90.00 90.00 90.00°
Closest atoms and distances in Å follow each position.
Element x y z (fractional)
Ni  0.0000  0.2500  0.5000  4 As 2.29
Ni  0.0000  0.7500  0.5000  4 As 2.29
Ni  0.2500  0.5000  0.0000  4 As 2.29
Ni  0.5000  0.0000  0.2500  4 As 2.29
Ni  0.5000  0.0000  0.7500  4 As 2.29
Ni  0.7500  0.5000  0.0000  4 As 2.29
As  0.0000  0.5000  0.2500  4 Ni 2.29
As  0.0000  0.5000  0.7500  4 Ni 2.29
As  0.2500  0.0000  0.5000  4 Ni 2.29
As  0.5000  0.2500  0.0000  4 Ni 2.29
As  0.5000  0.7500  0.0000  4 Ni 2.29
As  0.7500  0.0000  0.5000  4 Ni 2.29

Calculated values
As for the energy of formation from the pure elements: 0.143 eV per atom.



[18]
DFT (PBE) results for a relaxed structure of Pm4Y3Co4.

Cell: 9.2679 9.2679 9.2679 Å, 157.23 122.29 62.86°
Closest atoms and distances in Å follow each position.
Element x y z (fractional)
Pm  0.0216  0.8361  0.1855  3 Co 2.75-2.84
Pm  0.3494  0.1639  0.1855  3 Co 2.75-2.84
Pm  0.6506  0.8361  0.8145  3 Co 2.75-2.84
Pm  0.9784  0.1639  0.8145  3 Co 2.75-2.84
Y  0.0000  0.5000  0.5000  4 Co 3.16
Y  0.3971  0.3971  0.0000  6 Co 2.93-3.10, 1 Y 3.26
Y  0.6029  0.6029  0.0000  6 Co 2.93-3.10, 1 Y 3.26
Co  0.2523  0.7523  0.5000  6 Pm 2.84-3.11, 2 Y 2.93
Co  0.2882  0.0000  0.2882  2 Pm 2.75
Co  0.7118  0.0000  0.7118  2 Pm 2.75
Co  0.7477  0.2477  0.5000  6 Pm 2.84-3.11, 2 Y 2.93

Calculated values
As for the energy of formation from the pure elements: 0.003 eV per atom.



[19]
DFT (PBE) results for a relaxed structure of HoScInRh.

Cell: 4.9449 4.9449 4.9449 Å, 60.00 60.00 60.00°
Closest atoms and distances in Å follow each position.
Element x y z (fractional)
Ho  0.0000  0.0000  0.0000  4 Rh 3.03, 4 In 3.03
Sc  0.5000  0.5000  0.5000  4 In 3.03, 4 Rh 3.03
In  0.2500  0.2500  0.2500  4 Sc 3.03, 4 Ho 3.03
Rh  0.7500  0.7500  0.7500  4 Sc 3.03, 4 Ho 3.03

Calculated values
As for the energy of formation from the pure elements: -0.575 eV per atom.



[20]
DFT (PBE) results for a relaxed structure of BeVAu.

Cell: 5.8819 4.9553 4.5429 Å, 76.39 54.96 48.65°
Closest atoms and distances in Å follow each position.
Element x y z (fractional)
Be  0.2500  0.2500  0.2500  2 Be 2.30, 4 Au 2.41, 4 V 2.56
Be  0.7500  0.7500  0.7500  2 Be 2.30, 4 Au 2.41, 4 V 2.56
V  0.1662  0.8338  0.1662  4 Be 2.56, 3 V 2.60-2.65
V  0.8338  0.1662  0.8338  4 Be 2.56, 3 V 2.60-2.65
Au  0.3433  0.3433  0.6567  4 Be 2.41
Au  0.6567  0.6567  0.3433  4 Be 2.41

Calculated values
The calculation puts the polymorph energy (0 for the lowest one) at 89.1 meV per atom. As for the energy of formation from the pure elements: 0.000 eV per atom.